Model i:
# ZrScRu

A geometry-optimized ZrScRu structure (PBEsol, the Alexandria database).

Cell: 3.2355 3.2355 10.6248 Å, 90.00 90.00 90.00°
Closest atoms and distances in Å follow each position.
Space group I4mm (No. 107)
Symmetry-distinct sites (fractional):
Zr 0.0000 0.0000 0.0000 (multiplicity 2)  4 Ru 2.74
Sc 0.0000 0.0000 0.2920 (multiplicity 2)  4 Ru 2.79, 1 Zr 3.10
Ru 0.0000 0.0000 0.6417 (multiplicity 2)  4 Zr 2.74, 4 Sc 2.79

## Properties
**Spin magnetization**: 0.777 μB per formula unit

***

Model ii:
# ZrScRu

A geometry-optimized ZrScRu structure (PBEsol, the Alexandria database).

Cell: 6.2904 6.2904 6.2904 Å, 90.00 90.00 90.00°
Closest atoms and distances in Å follow each position.
Space group F-43m (No. 216)
Symmetry-distinct sites (fractional):
Zr 0.0000 0.0000 0.0000 (multiplicity 4)  4 Ru 2.72
Sc 0.0000 0.0000 0.5000 (multiplicity 4)  4 Ru 2.72
Ru 0.2500 0.2500 0.7500 (multiplicity 4)  4 Sc 2.72, 4 Zr 2.72

## Properties
**Spin magnetization**: 0.000 μB per formula unit

***

Stability check: which of them is most stable? model i.

***

Model i:
# RuSe3

A geometry-optimized RuSe3 structure (PBEsol, the Alexandria database).

Cell: 3.5247 7.3795 6.6881 Å, 90.00 90.00 90.00°
Closest atoms and distances in Å follow each position.
Space group Pmmn (No. 59, origin choice 2)
Symmetry-distinct sites (fractional):
Ru 0.2500 0.2500 0.0220 (multiplicity 2)  8 Se 2.46-2.59
Se 0.2500 0.5694 0.1804 (multiplicity 4)  3 Ru 2.58-2.59, 1 Se 2.67
Se 0.2500 0.7500 0.7207 (multiplicity 2)  2 Ru 2.46

## Properties
**Spin magnetization**: 0.000 μB per formula unit

***

Model ii:
# RuSe3

A geometry-optimized RuSe3 structure (PBEsol, the Alexandria database).

Cell: 4.4368 4.4368 6.7468 Å, 90.00 90.00 90.00°
Closest atoms and distances in Å follow each position.
Space group I4/mmm (No. 139)
Symmetry-distinct sites (fractional):
Ru 0.0000 0.0000 0.0000 (multiplicity 2)  8 Se 2.79
Se 0.0000 0.0000 0.5000 (multiplicity 2)  8 Se 2.79
Se 0.0000 0.5000 0.2500 (multiplicity 4)  4 Se 2.79, 4 Ru 2.79

## Properties
**Spin magnetization**: 0.000 μB per formula unit

***

Stability check: which of them is most stable? model i.

***

Model i:
# TaRuSe2

A geometry-optimized TaRuSe2 structure (PBEsol, the Alexandria database).

Cell: 3.0902 3.0902 23.3442 Å, 90.00 90.00 120.00°
Closest atoms and distances in Å follow each position.
Space group R-3m (No. 166, hexagonal axes)
Symmetry-distinct sites (fractional):
Ta 0.0000 0.0000 0.0000 (multiplicity 3)  6 Se 2.66
Ru 0.0000 0.0000 0.5000 (multiplicity 3)  6 Se 2.62
Se 0.0000 0.0000 0.2487 (multiplicity 6)  3 Ru 2.62, 3 Ta 2.66

## Properties
**Spin magnetization**: 0.018 μB per formula unit

***

Model ii:
# TaRuSe2

A geometry-optimized TaRuSe2 structure (PBEsol, the Alexandria database).

Cell: 3.8501 3.8501 8.5916 Å, 90.00 90.00 90.00°
Closest atoms and distances in Å follow each position.
Space group I-4m2 (No. 119)
Symmetry-distinct sites (fractional):
Ta 0.0000 0.0000 0.0000 (multiplicity 2)  8 Se 2.72-2.88, 4 Ru 2.88
Ru 0.0000 0.5000 0.2500 (multiplicity 2)  8 Se 2.72-2.88, 4 Ta 2.88
Se 0.0000 0.0000 0.5000 (multiplicity 2)  4 Ta 2.72, 4 Se 2.88, 4 Ru 2.88
Se 0.0000 0.5000 0.7500 (multiplicity 2)  4 Ru 2.72, 4 Ta 2.88, 4 Se 2.88

## Properties
**Spin magnetization**: 0.000 μB per formula unit

***

Stability check: which of them is most stable? model i.

***

Model i:
# TlRuSe2

A geometry-optimized TlRuSe2 structure (PBEsol, the Alexandria database).

Cell: 4.2837 4.2837 8.1284 Å, 90.00 90.00 90.00°
Closest atoms and distances in Å follow each position.
Space group I-4m2 (No. 119)
Symmetry-distinct sites (fractional):
Tl 0.0000 0.0000 0.0000 (multiplicity 2)  8 Se 2.95-3.03, 4 Ru 2.95
Ru 0.0000 0.5000 0.2500 (multiplicity 2)  4 Tl 2.95, 8 Se 2.95-3.03
Se 0.0000 0.0000 0.5000 (multiplicity 2)  4 Se 2.95, 4 Ru 2.95, 4 Tl 3.03
Se 0.0000 0.5000 0.7500 (multiplicity 2)  4 Tl 2.95, 4 Se 2.95, 4 Ru 3.03

## Properties
**Spin magnetization**: 0.000 μB per formula unit

***

Model ii:
# TlRuSe2

A geometry-optimized TlRuSe2 structure (PBEsol, the Alexandria database).

Cell: 3.0090 5.1332 10.5654 Å, 90.00 90.00 90.00°
Closest atoms and distances in Å follow each position.
Space group Immm (No. 71)
Symmetry-distinct sites (fractional):
Tl 0.0000 0.0000 0.0000 (multiplicity 2)  4 Ru 2.98, 2 Tl 3.01, 4 Se 3.24
Ru 0.0000 0.0000 0.5000 (multiplicity 2)  4 Se 2.48
Se 0.0000 0.5000 0.1866 (multiplicity 4)  2 Ru 2.48

## Properties
**Spin magnetization**: 0.000 μB per formula unit

***

Stability check: which of them is most stable? model ii.

***

Model i:
# TlRuSe2

A geometry-optimized TlRuSe2 structure (PBEsol, the Alexandria database).

Cell: 4.9042 3.6657 5.3677 Å, 90.00 116.81 90.00°
Closest atoms and distances in Å follow each position.
Space group P2/m (No. 10)
Symmetry-distinct sites (fractional):
Tl 0.0000 0.0000 0.0000 (multiplicity 1)  2 Ru 2.70
Ru 0.5000 0.0000 0.5000 (multiplicity 1)  4 Se 2.44, 2 Tl 2.70
Se 0.2878 0.5000 0.6588 (multiplicity 2)  2 Ru 2.44, 1 Se 2.56

## Properties
**Spin magnetization**: 0.001 μB per formula unit

***

Model ii:
# TlRuSe2

A geometry-optimized TlRuSe2 structure (PBEsol, the Alexandria database).

Cell: 3.5920 3.5920 26.1088 Å, 90.00 90.00 120.00°
Closest atoms and distances in Å follow each position.
Space group R-3m (No. 166, hexagonal axes)
Symmetry-distinct sites (fractional):
Tl 0.0000 0.0000 0.0000 (multiplicity 3)  2 Se 3.03
Ru 0.0000 0.0000 0.5000 (multiplicity 3)  6 Se 2.46
Se 0.0000 0.0000 0.1159 (multiplicity 6)  3 Ru 2.46

## Properties
**Spin magnetization**: 0.006 μB per formula unit

***

Stability check: which of them is most stable? model i.

***

Model i:
# RuWSe2

A geometry-optimized RuWSe2 structure (PBEsol, the Alexandria database).

Cell: 5.1707 6.0383 4.2524 Å, 90.00 90.00 90.00°
Closest atoms and distances in Å follow each position.
Space group Cmmm (No. 65)
Symmetry-distinct sites (fractional):
Ru 0.0000 0.0000 0.0000 (multiplicity 2)  2 W 2.59, 4 Se 2.61
W 0.0000 0.5000 0.0000 (multiplicity 2)  2 Ru 2.59, 4 Se 2.61
Se 0.0000 0.2500 0.5000 (multiplicity 4)  2 Se 2.59, 2 Ru 2.61, 2 W 2.61

## Properties
**Spin magnetization**: 0.000 μB per formula unit

***

Model ii:
# RuWSe2

A geometry-optimized RuWSe2 structure (PBEsol, the Alexandria database).

Cell: 3.9473 3.9473 7.9684 Å, 90.00 90.00 90.00°
Closest atoms and distances in Å follow each position.
Space group I-4m2 (No. 119)
Symmetry-distinct sites (fractional):
Ru 0.0000 0.0000 0.0000 (multiplicity 2)  8 Se 2.79-2.80, 4 W 2.80
W 0.0000 0.5000 0.7500 (multiplicity 2)  8 Se 2.79-2.80, 4 Ru 2.80
Se 0.0000 0.0000 0.5000 (multiplicity 2)  4 Ru 2.79, 4 Se 2.80, 4 W 2.80
Se 0.0000 0.5000 0.2500 (multiplicity 2)  4 W 2.79, 4 Se 2.80, 4 Ru 2.80

## Properties
**Spin magnetization**: 0.000 μB per formula unit

***

Stability check: which of them is most stable? model ii.